Entry 1:
Density functional theory data (PBE) for crystalline CuAg at its relaxed geometry.

The calculated volume comes out at 14.95 Å³/atom. The calculation puts the total energy at -63.8 eV/cell. As for the formation energy: 81 meV per atom.

It has space group Cm (No. 8), with a = 11.012 Å, b = 2.854 Å, c = 9.570 Å, α = 90.00°, β = 96.43° and γ = 90.00°. The asymmetric unit holds Cu at (0.000, 0.000, 0.000), Cu at (0.031, 0.500, 0.558), Cu at (0.227, 0.000, 0.633), Cu at (0.321, 0.000, 0.912), Cu at (0.412, 0.500, 0.727), Ag at (0.118, 0.000, 0.353), Ag at (0.118, 0.500, 0.823), Ag at (0.200, 0.500, 0.115), Ag at (0.340, 0.500, 0.440) and Ag at (0.419, 0.000, 0.205).

---

Entry 2:
Density functional theory data (PBE) for crystalline Cu4Ag5 at its relaxed geometry.

The calculated volume comes out at 15.26 Å³/atom. The calculation puts the total energy at -56.3 eV/cell. As for the formation energy: 94 meV per atom. Its energy above the most stable polymorph in this dataset is 56.6 meV per atom.

It has space group Immm (No. 71), with a = 2.839 Å, b = 3.761 Å, c = 25.732 Å, α = 90.00°, β = 90.00° and γ = 90.00°. The asymmetric unit holds Cu at (0.000, 0.000, 0.055), Cu at (0.000, 0.000, 0.164), Ag at (0.000, 0.000, 0.281), Ag at (0.000, 0.000, 0.391) and Ag at (0.000, 0.000, 0.500).

---

Entry 3:
Density functional theory data (PBE) for crystalline Cu2Ag7 at its relaxed geometry.

The calculated volume comes out at 16.77 Å³/atom. The calculation puts the total energy at -53.3 eV/cell. As for the formation energy: 61 meV per atom. Its energy above the most stable polymorph in this dataset is 34.2 meV per atom.

It has space group C2/m (No. 12), with a = 14.806 Å, b = 2.905 Å, c = 8.508 Å, α = 90.00°, β = 124.43° and γ = 90.00°. The asymmetric unit holds Cu at (0.225, 0.000, 0.347), Ag at (0.000, 0.000, 0.000), Ag at (0.064, 0.500, 0.337), Ag at (0.113, 0.000, 0.668) and Ag at (0.168, 0.500, 0.012).